Entry 1:
Li5CoO4, PBEsol geometry, DFT meta-GGA SCAN; uncorrected formation energy = -1.882 eV/atom; space group = Pbca; mass density = 2.803 g cm⁻³; magnetization = 0.40 μB/atom; excess energy over the best structure of this formula in the dataset = 0.000 eV/atom
1.0
9.043 0.000 0.000
0.000 9.103 0.000
0.000 0.000 9.075
Li Co O
40 8 32
Direct
0.105 0.149 0.122
0.105 0.351 0.622
0.106 0.656 0.882
0.106 0.844 0.382
0.125 0.618 0.149
0.125 0.882 0.649
0.145 0.110 0.387
0.145 0.390 0.887
0.159 0.618 0.610
0.159 0.882 0.110
0.341 0.118 0.610
0.341 0.382 0.110
0.355 0.610 0.387
0.355 0.890 0.887
0.375 0.118 0.149
0.375 0.382 0.649
0.394 0.156 0.882
0.394 0.344 0.382
0.395 0.649 0.122
0.395 0.851 0.622
0.605 0.149 0.378
0.605 0.351 0.878
0.606 0.656 0.618
0.606 0.844 0.118
0.625 0.618 0.351
0.625 0.882 0.851
0.645 0.110 0.113
0.645 0.390 0.613
0.659 0.618 0.890
0.659 0.882 0.390
0.841 0.118 0.890
0.841 0.382 0.390
0.855 0.610 0.113
0.855 0.890 0.613
0.875 0.118 0.351
0.875 0.382 0.851
0.894 0.156 0.618
0.894 0.344 0.118
0.895 0.649 0.378
0.895 0.851 0.878
0.118 0.115 0.852
0.118 0.385 0.352
0.382 0.615 0.852
0.382 0.885 0.352
0.618 0.115 0.648
0.618 0.385 0.148
0.882 0.615 0.648
0.882 0.885 0.148
0.000 0.246 0.966
0.000 0.254 0.466
0.000 0.746 0.534
0.000 0.754 0.034
0.018 0.505 0.749
0.018 0.995 0.249
0.242 0.246 0.752
0.242 0.254 0.252
0.245 0.035 0.993
0.245 0.465 0.493
0.255 0.535 0.993
0.255 0.965 0.493
0.258 0.746 0.752
0.258 0.754 0.252
0.482 0.005 0.749
0.482 0.495 0.249
0.500 0.246 0.534
0.500 0.254 0.034
0.500 0.746 0.966
0.500 0.754 0.466
0.518 0.505 0.751
0.518 0.995 0.251
0.742 0.246 0.748
0.742 0.254 0.248
0.745 0.035 0.507
0.745 0.465 0.007
0.755 0.535 0.507
0.755 0.965 0.007
0.758 0.746 0.748
0.758 0.754 0.248
0.982 0.005 0.751
0.982 0.495 0.251

Entry 2:
Zn2HgW, PBEsol geometry, DFT meta-GGA SCAN; space group = F-43m; electronic total energy = -40.410 eV/atom; mass density = 13.175 g cm⁻³; magnetization = 0.51 μB/atom
1.0
6.380 0.000 0.000
0.000 6.380 0.000
0.000 0.000 6.380
Zn Hg W
8 4 4
Direct
0.000 0.000 0.000
0.000 0.500 0.500
0.250 0.250 0.250
0.250 0.750 0.750
0.500 0.000 0.500
0.500 0.500 0.000
0.750 0.250 0.750
0.750 0.750 0.250
0.250 0.250 0.750
0.250 0.750 0.250
0.750 0.250 0.250
0.750 0.750 0.750
0.000 0.000 0.500
0.000 0.500 0.000
0.500 0.000 0.000
0.500 0.500 0.500

Entry 3:
LaMgSc2, PBEsol geometry, DFT meta-GGA SCAN; space group = P4mm; electronic total energy = -19.146 eV/atom; mass density = 4.012 g cm⁻³; magnetization = 0.36 μB/atom
1.0
3.339 0.000 0.000
0.000 3.339 0.000
0.000 0.000 9.400
La Mg Sc
1 1 2
Direct
0.000 0.000 0.000
0.500 0.500 0.271
0.000 0.000 0.497
0.500 0.500 0.725

Entry 4:
Ce2Mn5Ni5, PBEsol geometry, DFT meta-GGA SCAN; space group = Pmmm; electronic total energy = -22.052 eV/atom; mass density = 8.457 g cm⁻³; magnetization = 0.88 μB/atom
1.0
3.930 0.000 0.000
0.000 4.980 0.000
0.000 0.000 8.512
Ce Mn Ni
2 5 5
Direct
0.000 0.000 0.000
0.000 0.500 0.500
0.000 0.000 0.334
0.000 0.000 0.666
0.000 0.500 0.159
0.000 0.500 0.841
0.500 0.500 0.000
0.500 0.000 0.500
0.500 0.249 0.249
0.500 0.249 0.751
0.500 0.751 0.249
0.500 0.751 0.751

Entry 5:
Ca2ZnAg, PBEsol geometry, DFT meta-GGA SCAN; space group = Imm2; electronic total energy = -16.264 eV/atom; mass density = 4.372 g cm⁻³; magnetization = 0.00 μB/atom
1.0
3.661 0.000 0.000
0.000 5.044 0.000
0.000 0.000 10.425
Ca Zn Ag
4 2 2
Direct
0.000 0.000 0.000
0.000 0.500 0.206
0.500 0.000 0.706
0.500 0.500 0.500
0.000 0.500 0.760
0.500 0.000 0.260
0.000 0.000 0.442
0.500 0.500 0.942

Entry 6:
La2ZnPb, PBEsol geometry, DFT meta-GGA SCAN; space group = Pmmm; electronic total energy = -44.476 eV/atom; mass density = 8.280 g cm⁻³; magnetization = 0.00 μB/atom
1.0
3.615 0.000 0.000
0.000 4.244 0.000
0.000 0.000 7.195
La Zn Pb
2 1 1
Direct
0.000 0.000 0.233
0.000 0.000 0.767
0.500 0.500 0.000
0.500 0.500 0.500

Entry 7:
CrRe3, PBEsol geometry, DFT meta-GGA SCAN; space group = R-3m; electronic total energy = -57.791 eV/atom; mass density = 18.120 g cm⁻³; magnetization = 0.00 μB/atom
1.0
8.558 0.000 0.000
-4.279 7.411 0.000
0.000 0.000 2.647
Cr Re
3 9
Direct
0.000 0.000 0.000
0.333 0.667 0.667
0.667 0.333 0.333
0.000 0.500 0.000
0.167 0.333 0.333
0.167 0.833 0.333
0.333 0.167 0.667
0.500 0.000 0.000
0.500 0.500 0.000
0.667 0.833 0.333
0.833 0.167 0.667
0.833 0.667 0.667

Entry 8:
Li3SnP6O18, PBEsol geometry, DFT meta-GGA SCAN; uncorrected formation energy = -2.312 eV/atom; space group = P1; mass density = 3.037 g cm⁻³; magnetization = 0.04 μB/atom
1.0
7.214 0.000 0.000
-2.606 6.915 0.000
-1.180 -3.163 6.721
Li Sn P O
3 1 6 18
Direct
0.000 0.000 0.000
0.059 0.407 0.317
0.884 0.565 0.612
0.572 0.615 0.104
0.056 0.878 0.380
0.175 0.309 0.670
0.376 0.878 0.893
0.392 0.235 0.386
0.607 0.832 0.614
0.718 0.238 0.915
0.016 0.674 0.398
0.034 0.375 0.568
0.074 0.052 0.590
0.154 0.821 0.879
0.241 0.255 0.241
0.247 0.403 0.895
0.282 0.986 0.359
0.384 0.355 0.609
0.398 0.767 0.677
0.491 0.127 0.939
0.514 0.844 0.041
0.529 0.735 0.390
0.614 0.307 0.400
0.683 0.086 0.688
0.737 0.451 0.924
0.764 0.785 0.719
0.881 0.224 0.050
0.894 0.869 0.215

Entry 9:
BaHgS2Cl, PBEsol geometry, DFT meta-GGA SCAN; uncorrected formation energy = -0.351 eV/atom; space group = P4/mmm; mass density = 3.229 g cm⁻³; magnetization = 0.60 μB/atom
1.0
6.210 0.000 0.000
0.000 6.210 0.000
0.000 0.000 5.834
Ba Hg S Cl
1 1 2 1
Direct
0.000 0.000 0.000
0.500 0.500 0.500
0.000 0.500 0.000
0.500 0.000 0.000
0.000 0.000 0.500

Entry 10:
Rb2LiTa, PBEsol geometry, DFT meta-GGA SCAN; space group = Fm-3m; electronic total energy = -26.060 eV/atom; mass density = 3.651 g cm⁻³; magnetization = 1.15 μB/atom
1.0
8.675 0.000 0.000
0.000 8.675 0.000
0.000 0.000 8.675
Rb Li Ta
8 4 4
Direct
0.250 0.250 0.250
0.250 0.250 0.750
0.250 0.750 0.250
0.250 0.750 0.750
0.750 0.250 0.250
0.750 0.250 0.750
0.750 0.750 0.250
0.750 0.750 0.750
0.000 0.000 0.000
0.000 0.500 0.500
0.500 0.000 0.500
0.500 0.500 0.000
0.000 0.000 0.500
0.000 0.500 0.000
0.500 0.000 0.000
0.500 0.500 0.500

Entry 11:
Ce2Al6CuAu, PBEsol geometry, DFT meta-GGA SCAN; space group = P4mm; electronic total energy = -22.635 eV/atom; mass density = 6.132 g cm⁻³; magnetization = 0.18 μB/atom
1.0
4.240 0.000 0.000
0.000 4.240 0.000
0.000 0.000 10.585
Ce Al Cu Au
2 6 1 1
Direct
0.000 0.000 0.000
0.500 0.500 0.491
0.000 0.000 0.399
0.000 0.500 0.245
0.000 0.500 0.759
0.500 0.000 0.245
0.500 0.000 0.759
0.500 0.500 0.914
0.500 0.500 0.135
0.000 0.000 0.630

Entry 12:
CoRu2Cl, PBEsol geometry, DFT meta-GGA SCAN; uncorrected formation energy = 0.379 eV/atom; space group = R3m; mass density = 9.413 g cm⁻³; magnetization = 0.45 μB/atom; excess energy over the best structure of this formula in the dataset = 0.000 eV/atom
1.0
2.758 0.000 0.000
-1.379 2.389 0.000
0.000 0.000 23.817
Co Ru Cl
3 6 3
Direct
0.000 0.000 0.000
0.333 0.667 0.667
0.667 0.333 0.333
0.000 0.000 0.248
0.000 0.000 0.496
0.333 0.667 0.163
0.333 0.667 0.914
0.667 0.333 0.581
0.667 0.333 0.830
0.000 0.000 0.741
0.333 0.667 0.407
0.667 0.333 0.074

Entry 13:
YRe3As, PBEsol geometry, DFT meta-GGA SCAN; space group = Pm-3m; electronic total energy = -48.884 eV/atom; mass density = 11.368 g cm⁻³; magnetization = 0.36 μB/atom
1.0
4.726 0.000 0.000
0.000 4.726 0.000
0.000 0.000 4.726
Y Re As
1 3 1
Direct
0.000 0.000 0.000
0.000 0.000 0.500
0.000 0.500 0.000
0.500 0.000 0.000
0.500 0.500 0.500

Entry 14:
Be2BIr2, PBEsol geometry, DFT meta-GGA SCAN; space group = P4/mbm; electronic total energy = -32.182 eV/atom; mass density = 12.445 g cm⁻³; magnetization = 0.00 μB/atom
1.0
5.614 0.000 0.000
0.000 5.614 0.000
0.000 0.000 3.500
Be B Ir
4 2 4
Direct
0.141 0.359 0.000
0.359 0.859 0.000
0.641 0.141 0.000
0.859 0.641 0.000
0.000 0.000 0.500
0.500 0.500 0.500
0.166 0.666 0.500
0.334 0.166 0.500
0.666 0.834 0.500
0.834 0.334 0.500

Entry 15:
BaNbTeN2, PBEsol geometry, DFT meta-GGA SCAN; uncorrected formation energy = 1.751 eV/atom; space group = P4/mmm; mass density = 5.204 g cm⁻³; magnetization = 0.24 μB/atom
1.0
4.339 0.000 0.000
0.000 4.339 0.000
0.000 0.000 6.540
Ba Nb Te N
1 1 1 2
Direct
0.000 0.000 0.000
0.500 0.500 0.500
0.000 0.000 0.500
0.000 0.500 0.000
0.500 0.000 0.000

Entry 16:
Hg3SbAsS3, PBEsol geometry, DFT meta-GGA SCAN; uncorrected formation energy = -0.161 eV/atom; space group = P2_1/c; mass density = 7.736 g cm⁻³; magnetization = 0.00 μB/atom
1.0
11.482 0.000 0.000
0.000 4.258 0.000
-10.912 0.000 15.709
Hg Sb As S
12 4 4 12
Direct
0.058 0.231 0.428
0.058 0.269 0.928
0.199 0.720 0.312
0.199 0.780 0.812
0.300 0.166 0.681
0.300 0.334 0.181
0.700 0.666 0.819
0.700 0.834 0.319
0.801 0.220 0.188
0.801 0.280 0.688
0.942 0.731 0.072
0.942 0.769 0.572
0.414 0.690 0.552
0.414 0.810 0.052
0.586 0.190 0.948
0.586 0.310 0.448
0.089 0.163 0.691
0.089 0.337 0.191
0.911 0.663 0.809
0.911 0.837 0.309
0.183 0.630 0.539
0.183 0.870 0.039
0.314 0.087 0.430
0.314 0.413 0.930
0.499 0.079 0.669
0.499 0.421 0.169
0.501 0.579 0.831
0.501 0.921 0.331
0.686 0.587 0.070
0.686 0.913 0.570
0.817 0.130 0.961
0.817 0.370 0.461

Entry 17:
NbCo3O8, PBEsol geometry, DFT meta-GGA SCAN; uncorrected formation energy = -1.596 eV/atom; space group = P6_3mc; mass density = 5.333 g cm⁻³; magnetization = 0.17 μB/atom
1.0
5.608 0.000 0.000
-2.804 4.857 0.000
0.000 0.000 9.094
Nb Co O
2 6 16
Direct
0.333 0.667 0.000
0.667 0.333 0.500
0.168 0.337 0.282
0.168 0.832 0.282
0.337 0.168 0.782
0.663 0.832 0.282
0.832 0.168 0.782
0.832 0.663 0.782
0.000 0.000 0.189
0.000 0.000 0.689
0.034 0.517 0.169
0.162 0.323 0.895
0.162 0.838 0.895
0.323 0.162 0.395
0.333 0.667 0.385
0.483 0.517 0.169
0.483 0.966 0.169
0.517 0.034 0.669
0.517 0.483 0.669
0.667 0.333 0.885
0.677 0.838 0.895
0.838 0.162 0.395
0.838 0.677 0.395
0.966 0.483 0.669

Entry 18:
NiAg5, PBEsol geometry, DFT meta-GGA SCAN; space group = Amm2; mass density = 10.606 g cm⁻³; magnetization = 0.00 μB/atom; excess energy over the best structure of this formula in the dataset = 0.000 eV/atom
1.0
4.598 0.000 0.000
0.000 2.814 0.000
0.000 0.000 14.474
Ni Ag
2 10
Direct
0.000 0.000 0.000
0.000 0.500 0.500
0.000 0.000 0.340
0.000 0.000 0.661
0.000 0.500 0.161
0.000 0.500 0.840
0.500 0.000 0.110
0.500 0.000 0.449
0.500 0.000 0.778
0.500 0.500 0.278
0.500 0.500 0.610
0.500 0.500 0.949

Entry 19:
AgAu5, PBEsol geometry, DFT meta-GGA SCAN; space group = P6/mmm; mass density = 15.811 g cm⁻³; magnetization = 0.00 μB/atom; excess energy over the best structure of this formula in the dataset = 0.117 eV/atom
1.0
5.368 0.000 0.000
-2.684 4.649 0.000
0.000 0.000 4.599
Ag Au
1 5
Direct
0.000 0.000 0.000
0.000 0.500 0.500
0.333 0.667 0.000
0.500 0.000 0.500
0.500 0.500 0.500
0.667 0.333 0.000

Entry 20:
ZnIr2Cl, PBEsol geometry, DFT meta-GGA SCAN; uncorrected formation energy = 0.463 eV/atom; space group = Pmmm; mass density = 13.831 g cm⁻³; magnetization = 0.00 μB/atom; excess energy over the best structure of this formula in the dataset = 0.141 eV/atom
1.0
2.746 0.000 0.000
0.000 4.363 0.000
0.000 0.000 4.863
Zn Ir Cl
1 2 1
Direct
0.000 0.000 0.000
0.000 0.500 0.500
0.500 0.500 0.000
0.500 0.000 0.500